(1)
An optimized crystal structure of ZrGe2I. Source: Alexandria, functional GGA-PBE. Values from VASP.

Results
space-group type = No. 225
total magnetization = 0.000 μB/atom
uncorrected energy = -4.342 eV/atom
distance to the lowest polymorph of the same formula = 0.252 eV/atom
ρ = 6644 kg/m3
formation energy from raw total energies = 1.96 eV per formula unit

Quantum ESPRESSO input file:
```
&SYSTEM
  ibrav = 0, nat = 16, ntyp = 3
/
ATOMIC_SPECIES
Zr 91.22 Zr.upf
Ge 72.64 Ge.upf
I 126.90 I.upf
CELL_PARAMETERS angstrom
7.135 0.000 0.000
0.000 7.135 0.000
0.000 0.000 7.135
ATOMIC_POSITIONS crystal
Zr 0.000 0.000 0.000
Zr 0.000 0.500 0.500
Zr 0.500 0.000 0.500
Zr 0.500 0.500 0.000
Ge 0.250 0.250 0.250
Ge 0.250 0.250 0.750
Ge 0.250 0.750 0.250
Ge 0.250 0.750 0.750
Ge 0.750 0.250 0.250
Ge 0.750 0.250 0.750
Ge 0.750 0.750 0.250
Ge 0.750 0.750 0.750
I 0.000 0.000 0.500
I 0.000 0.500 0.000
I 0.500 0.000 0.000
I 0.500 0.500 0.500
```

***

(2)
An optimized crystal structure of ScAgSe. Source: Alexandria, functional GGA-PBE. Values from VASP.

Results
space-group type = No. 216
total magnetization = 0.000 μB/atom
uncorrected energy = -4.597 eV/atom
distance to the lowest polymorph of the same formula = 0.403 eV/atom
ρ = 5735 kg/m3
formation energy from raw total energies = -1.12 eV per formula unit

Quantum ESPRESSO input file:
```
&SYSTEM
  ibrav = 0, nat = 12, ntyp = 3
/
ATOMIC_SPECIES
Sc 44.96 Sc.upf
Ag 107.87 Ag.upf
Se 78.96 Se.upf
CELL_PARAMETERS angstrom
6.451 0.000 0.000
0.000 6.451 0.000
0.000 0.000 6.451
ATOMIC_POSITIONS crystal
Sc 0.000 0.000 0.000
Sc 0.000 0.500 0.500
Sc 0.500 0.000 0.500
Sc 0.500 0.500 0.000
Ag 0.000 0.000 0.500
Ag 0.000 0.500 0.000
Ag 0.500 0.000 0.000
Ag 0.500 0.500 0.500
Se 0.250 0.250 0.750
Se 0.250 0.750 0.250
Se 0.750 0.250 0.250
Se 0.750 0.750 0.750
```

***

(3)
An optimized crystal structure of Be2SiIr. Source: Alexandria, functional GGA-PBE. Values from VASP.

Results
space-group type = No. 65
total magnetization = 0.000 μB/atom
uncorrected energy = -5.318 eV/atom
ρ = 8135 kg/m3
formation energy from raw total energies = 0.46 eV per formula unit

Quantum ESPRESSO input file:
```
&SYSTEM
  ibrav = 0, nat = 8, ntyp = 3
/
ATOMIC_SPECIES
Be 9.01 Be.upf
Si 28.09 Si.upf
Ir 192.22 Ir.upf
CELL_PARAMETERS angstrom
2.787 0.000 0.000
0.000 4.673 0.000
0.000 0.000 7.470
ATOMIC_POSITIONS crystal
Be 0.000 0.000 0.242
Be 0.000 0.000 0.758
Be 0.500 0.500 0.242
Be 0.500 0.500 0.758
Si 0.000 0.500 0.500
Si 0.500 0.000 0.500
Ir 0.000 0.500 0.000
Ir 0.500 0.000 0.000
```

***

(4)
An optimized crystal structure of TaBRu3. Source: Alexandria, functional GGA-PBE. Values from VASP.

Results
space-group type = No. 12
total magnetization = 0.000 μB/atom
uncorrected energy = -9.560 eV/atom
ρ = 12164 kg/m3
ΔH_f (0 K) = -0.288 eV per atom

Quantum ESPRESSO input file:
```
&SYSTEM
  ibrav = 0, nat = 10, ntyp = 3
/
ATOMIC_SPECIES
Ta 180.95 Ta.upf
B 10.81 B.upf
Ru 101.07 Ru.upf
CELL_PARAMETERS angstrom
5.081 -2.847 0.000
5.081 2.847 0.000
-0.080 0.000 4.671
ATOMIC_POSITIONS crystal
Ta 0.181 0.181 0.209
Ta 0.819 0.819 0.791
B 0.000 0.000 0.500
B 0.500 0.500 0.000
Ru 0.163 0.656 0.252
Ru 0.331 0.331 0.738
Ru 0.344 0.837 0.748
Ru 0.656 0.163 0.252
Ru 0.669 0.669 0.262
Ru 0.837 0.344 0.748
```

***

(5)
An optimized crystal structure of Tl2CrCl. Source: Alexandria, functional GGA-PBE. Values from VASP.

Results
space-group type = No. 2
total magnetization = 0.000 μB/atom
uncorrected energy = -4.041 eV/atom
distance to the lowest polymorph of the same formula = 0.090 eV/atom
ρ = 7683 kg/m3
formation energy from raw total energies = 0.04 eV per formula unit

Quantum ESPRESSO input file:
```
&SYSTEM
  ibrav = 0, nat = 8, ntyp = 3
/
ATOMIC_SPECIES
Tl 204.38 Tl.upf
Cr 52.00 Cr.upf
Cl 35.45 Cl.upf
CELL_PARAMETERS angstrom
5.544 0.000 0.000
2.359 5.480 0.000
0.873 2.584 7.059
ATOMIC_POSITIONS crystal
Tl 0.208 0.190 0.040
Tl 0.256 0.930 0.628
Tl 0.744 0.070 0.372
Tl 0.792 0.810 0.960
Cr 0.365 0.626 0.032
Cr 0.635 0.374 0.968
Cl 0.242 0.566 0.343
Cl 0.758 0.434 0.657
```

***

(6)
An optimized crystal structure of Ca2Ac8Mg. Source: Alexandria, functional GGA-PBE. Values from VASP.

Results
space-group type = No. 12
total magnetization = 0.000 μB/atom
uncorrected energy = -3.301 eV/atom
ρ = 6450 kg/m3
ΔH_f (0 K) = 0.196 eV per atom

Quantum ESPRESSO input file:
```
&SYSTEM
  ibrav = 0, nat = 11, ntyp = 3
/
ATOMIC_SPECIES
Ca 40.08 Ca.upf
Ac 227.00 Ac.upf
Mg 24.30 Mg.upf
CELL_PARAMETERS angstrom
8.656 -4.283 0.000
8.656 4.283 0.000
-2.014 0.000 6.668
ATOMIC_POSITIONS crystal
Ca 0.114 0.114 0.460
Ca 0.886 0.886 0.540
Ac 0.223 0.223 0.064
Ac 0.233 0.639 0.219
Ac 0.348 0.348 0.670
Ac 0.361 0.767 0.781
Ac 0.639 0.233 0.219
Ac 0.652 0.652 0.330
Ac 0.767 0.361 0.781
Ac 0.777 0.777 0.936
Mg 0.000 0.000 0.000
```

***

- Which value of ρ does entry 1 give?
  6644 kg/m3

***

- Look up the ρ of the third one.
  8135 kg/m3

***

- What is the ρ in the fourth record?
  12164 kg/m3